First-principles (GGA-PBEsol) data for a geometry-optimized Be4MoW structure, as listed in the Alexandria database.

a = 4.4283 Å, b = 4.4283 Å, c = 4.4283 Å
α = 60.00°, β = 60.00°, γ = 60.00°
Closest atoms and distances in Å follow each position.
Fractional positions:
Be: 0.6252 0.6252 0.1245  6 Be 2.21-2.22
Be: 0.6252 0.1245 0.6252  6 Be 2.21-2.22
Be: 0.1245 0.6252 0.6252  6 Be 2.21-2.22
Be: 0.6252 0.6252 0.6252  6 Be 2.21-2.22
W: 0.0000 0.0000 0.0000  12 Be 2.60, 4 Mo 2.71
Mo: 0.2500 0.2500 0.2500  12 Be 2.60, 4 W 2.71

Output
The value obtained for the energy of formation from the pure elements is -6.95 kcal/mol of atoms. The value obtained for the total magnetic moment is 0.00 Bohr magnetons per cell.

---

First-principles (GGA-PBEsol) data for a geometry-optimized BeMo3W structure, as listed in the Alexandria database.

a = 4.6633 Å, b = 4.6633 Å, c = 4.6633 Å
α = 90.00°, β = 90.00°, γ = 90.00°
Closest atoms and distances in Å follow each position.
Fractional positions:
Mo: 0.0000 0.0000 0.5000  2 W 2.33
Mo: 0.0000 0.5000 0.0000  2 W 2.33
Mo: 0.5000 0.0000 0.0000  2 W 2.33
Be: 0.5000 0.5000 0.5000  12 Mo 3.30
W: 0.0000 0.0000 0.0000  6 Mo 2.33

Output
The value obtained for the energy of formation from the pure elements is 50.49 kcal/mol of atoms. The value obtained for the total magnetic moment is 0.00 Bohr magnetons per cell.

---

First-principles (GGA-PBEsol) data for a geometry-optimized BeMoW structure, as listed in the Alexandria database.

a = 3.9072 Å, b = 3.9072 Å, c = 3.9072 Å
α = 60.00°, β = 60.00°, γ = 60.00°
Closest atoms and distances in Å follow each position.
Fractional positions:
Mo: 0.0000 0.0000 0.0000  4 Be 2.39
W: 0.5000 0.5000 0.5000  4 Be 2.39
Be: 0.2500 0.2500 0.2500  4 Mo 2.39, 4 W 2.39

Output
The value obtained for the energy of formation from the pure elements is 15.56 kcal/mol of atoms. The value obtained for the total magnetic moment is 0.00 Bohr magnetons per cell.

---

First-principles (GGA-PBEsol) data for a geometry-optimized Be2MoW structure, as listed in the Alexandria database.

a = 3.4380 Å, b = 3.4780 Å, c = 4.0207 Å
α = 90.00°, β = 90.00°, γ = 90.00°
Closest atoms and distances in Å follow each position.
Fractional positions:
Mo: 0.5000 0.5000 0.0000  8 Be 2.45-2.66, 4 W 2.65
Be: 0.0000 0.0000 0.0000  4 Mo 2.45, 4 Be 2.65, 4 W 2.66
Be: 0.5000 0.0000 0.5000  4 W 2.45, 4 Be 2.65, 4 Mo 2.66
W: 0.0000 0.5000 0.5000  8 Be 2.45-2.66, 4 Mo 2.65

Output
The value obtained for the energy of formation from the pure elements is 3.67 kcal/mol of atoms. The calculation puts the excess energy over the best structure of this formula in the dataset at 363.3 meV per atom. The value obtained for the total magnetic moment is 0.00 Bohr magnetons per cell.

---

First-principles (GGA-PBEsol) data for a geometry-optimized Be2MoW structure, as listed in the Alexandria database.

a = 3.1854 Å, b = 3.2447 Å, c = 4.6737 Å
α = 90.00°, β = 109.92°, γ = 90.00°
Closest atoms and distances in Å follow each position.
Fractional positions:
W: 0.7802 0.5000 0.5603  7 Be 2.40-2.53
Be: 0.0567 0.5000 0.1134  2 Be 2.01
Be: 0.1925 0.0000 0.3849  2 Be 2.01
Mo: 0.4700 0.0000 0.9400  7 Be 2.40-2.52

Output
The value obtained for the energy of formation from the pure elements is -4.71 kcal/mol of atoms. The calculation puts the excess energy over the best structure of this formula in the dataset at 0.0 meV per atom. The value obtained for the total magnetic moment is 0.00 Bohr magnetons per cell.

---

First-principles (GGA-PBEsol) data for a geometry-optimized Be2MoW2 structure, as listed in the Alexandria database.

a = 3.5766 Å, b = 3.5766 Å, c = 5.7163 Å
α = 108.23°, β = 108.23°, γ = 90.00°
Closest atoms and distances in Å follow each position.
Fractional positions:
Be: 0.4089 0.4089 0.8177  1 Be 1.87
Be: 0.5911 0.5911 0.1823  1 Be 1.87
Mo: 0.0000 0.0000 0.0000  8 Be 2.70
W: 0.7500 0.2500 0.5000  4 Be 2.42, 4 W 2.53
W: 0.2500 0.7500 0.5000  4 Be 2.42, 4 W 2.53

Output
The value obtained for the energy of formation from the pure elements is 7.36 kcal/mol of atoms. The calculation puts the excess energy over the best structure of this formula in the dataset at 471.2 meV per atom. The value obtained for the total magnetic moment is 0.00 Bohr magnetons per cell.

---

First-principles (GGA-PBEsol) data for a geometry-optimized Y2BeMo structure, as listed in the Alexandria database.

a = 3.4878 Å, b = 3.4878 Å, c = 6.5731 Å
α = 90.00°, β = 90.00°, γ = 90.00°
Closest atoms and distances in Å follow each position.
Fractional positions:
Y: 0.0000 0.0000 0.2472  4 Be 2.95, 4 Mo 2.97, 1 Y 3.25
Y: 0.0000 0.0000 0.7528  4 Be 2.95, 4 Mo 2.97, 1 Y 3.25
Mo: 0.5000 0.5000 0.5000  8 Y 2.97, 2 Be 3.29
Be: 0.5000 0.5000 0.0000  8 Y 2.95, 2 Mo 3.29

Output
The value obtained for the energy of formation from the pure elements is 8.41 kcal/mol of atoms. The value obtained for the total magnetic moment is 0.00 Bohr magnetons per cell.

---

First-principles (GGA-PBEsol) data for a geometry-optimized Y3BeMo structure, as listed in the Alexandria database.

a = 5.0283 Å, b = 5.0283 Å, c = 5.0283 Å
α = 90.00°, β = 90.00°, γ = 90.00°
Closest atoms and distances in Å follow each position.
Fractional positions:
Mo: 0.5000 0.5000 0.5000  12 Y 3.56
Y: 0.0000 0.0000 0.5000  2 Be 2.51
Y: 0.0000 0.5000 0.0000  2 Be 2.51
Y: 0.5000 0.0000 0.0000  2 Be 2.51
Be: 0.0000 0.0000 0.0000  6 Y 2.51

Output
The value obtained for the energy of formation from the pure elements is 20.94 kcal/mol of atoms. The value obtained for the total magnetic moment is 2.34 Bohr magnetons per cell.

---

First-principles (GGA-PBEsol) data for a geometry-optimized Be3ZnMo structure, as listed in the Alexandria database.

a = 4.2492 Å, b = 4.2492 Å, c = 4.2492 Å
α = 90.00°, β = 90.00°, γ = 90.00°
Closest atoms and distances in Å follow each position.
Fractional positions:
Zn: 0.5000 0.5000 0.5000  12 Be 3.00
Be: 0.5000 0.0000 0.0000  2 Mo 2.12
Be: 0.0000 0.5000 0.0000  2 Mo 2.12
Be: 0.0000 0.0000 0.5000  2 Mo 2.12
Mo: 0.0000 0.0000 0.0000  6 Be 2.12

Output
The value obtained for the energy of formation from the pure elements is 33.38 kcal/mol of atoms. The value obtained for the total magnetic moment is 0.00 Bohr magnetons per cell.

---

First-principles (GGA-PBEsol) data for a geometry-optimized Be2ZnMo structure, as listed in the Alexandria database.

a = 2.6745 Å, b = 4.3507 Å, c = 4.8093 Å
α = 116.89°, β = 106.14°, γ = 90.00°
Closest atoms and distances in Å follow each position.
Fractional positions:
Zn: 0.0000 0.5000 0.0000  4 Be 2.36, 4 Mo 2.55
Be: 0.2618 0.2618 0.5237  2 Zn 2.36, 2 Mo 2.52, 4 Be 2.56
Be: 0.7382 0.7382 0.4763  2 Zn 2.36, 2 Mo 2.52, 4 Be 2.56
Mo: 0.5000 0.0000 0.0000  4 Be 2.52, 4 Zn 2.55, 2 Mo 2.67

Output
The value obtained for the energy of formation from the pure elements is 6.53 kcal/mol of atoms. The value obtained for the total magnetic moment is 0.00 Bohr magnetons per cell.

---

First-principles (GGA-PBEsol) data for a geometry-optimized BeZn4Mo structure, as listed in the Alexandria database.

a = 4.8551 Å, b = 4.8551 Å, c = 4.8551 Å
α = 60.00°, β = 60.00°, γ = 60.00°
Closest atoms and distances in Å follow each position.
Fractional positions:
Zn: 0.6255 0.1234 0.6255  6 Zn 2.42-2.44
Zn: 0.1234 0.6255 0.6255  6 Zn 2.42-2.44
Zn: 0.6255 0.6255 0.1234  6 Zn 2.42-2.44
Zn: 0.6255 0.6255 0.6255  6 Zn 2.42-2.44
Mo: 0.0000 0.0000 0.0000  12 Zn 2.85, 4 Be 2.97
Be: 0.2500 0.2500 0.2500  12 Zn 2.85, 4 Mo 2.97

Output
The value obtained for the energy of formation from the pure elements is 9.23 kcal/mol of atoms. The value obtained for the total magnetic moment is 0.77 Bohr magnetons per cell.

---

First-principles (GGA-PBEsol) data for a geometry-optimized ZrBeMo2 structure, as listed in the Alexandria database.

a = 3.3684 Å, b = 4.5510 Å, c = 4.6220 Å
α = 109.08°, β = 90.00°, γ = 111.72°
Closest atoms and distances in Å follow each position.
Fractional positions:
Mo: 0.0081 0.0163 0.0294  3 Be 2.48-2.67, 2 Mo 2.61, 2 Zr 2.77
Mo: 0.2626 0.5252 0.7760  3 Mo 2.61-2.79, 2 Be 2.65, 3 Zr 2.69-2.78
Zr: 0.4911 0.9822 0.4934  3 Be 2.68-2.86, 7 Mo 2.69-2.96
Be: 0.7381 0.4762 0.2012  5 Mo 2.48-2.67, 2 Zr 2.68

Output
The value obtained for the energy of formation from the pure elements is 4.12 kcal/mol of atoms. The value obtained for the total magnetic moment is 0.00 Bohr magnetons per cell.

---

First-principles (GGA-PBEsol) data for a geometry-optimized ZrBeMo2 structure, as listed in the Alexandria database.

a = 2.7193 Å, b = 2.7193 Å, c = 8.2548 Å
α = 90.00°, β = 90.00°, γ = 102.32°
Closest atoms and distances in Å follow each position.
Fractional positions:
Mo: 0.0000 0.0000 0.2050  2 Be 2.40
Mo: 0.0000 0.0000 0.7950  2 Be 2.40
Zr: 0.5000 0.5000 0.5000  4 Zr 2.72, 4 Mo 2.97
Be: 0.5000 0.5000 0.0000  4 Mo 2.40

Output
The value obtained for the energy of formation from the pure elements is 4.04 kcal/mol of atoms. The value obtained for the total magnetic moment is 0.00 Bohr magnetons per cell.

---

First-principles (GGA-PBEsol) data for a geometry-optimized ZrBeMo2 structure, as listed in the Alexandria database.

a = 3.7463 Å, b = 3.7463 Å, c = 5.1621 Å
α = 111.28°, β = 111.28°, γ = 90.00°
Closest atoms and distances in Å follow each position.
Fractional positions:
Be: 0.0000 0.0000 0.0000  4 Zr 2.65, 8 Mo 2.90
Zr: 0.5000 0.5000 0.0000  4 Be 2.65, 8 Mo 2.90
Mo: 0.7500 0.2500 0.5000  4 Mo 2.65, 4 Zr 2.90, 4 Be 2.90
Mo: 0.2500 0.7500 0.5000  4 Mo 2.65, 4 Be 2.90, 4 Zr 2.90

Output
The value obtained for the energy of formation from the pure elements is 5.74 kcal/mol of atoms. The value obtained for the total magnetic moment is 0.00 Bohr magnetons per cell.

---

First-principles (GGA-PBEsol) data for a geometry-optimized ZrBe2Mo structure, as listed in the Alexandria database.

a = 3.3499 Å, b = 3.4339 Å, c = 4.9241 Å
α = 90.00°, β = 109.89°, γ = 90.00°
Closest atoms and distances in Å follow each position.
Fractional positions:
Be: 0.0549 0.5000 0.1098  2 Be 2.07
Be: 0.1797 0.0000 0.3594  2 Be 2.07
Mo: 0.4810 0.0000 0.9619  6 Be 2.49
Zr: 0.7835 0.5000 0.5669  7 Be 2.51-2.70

Output
The value obtained for the energy of formation from the pure elements is -1.28 kcal/mol of atoms. The calculation puts the excess energy over the best structure of this formula in the dataset at 0.0 meV per atom. The value obtained for the total magnetic moment is 0.00 Bohr magnetons per cell.